Computed, not measured: CuGeAuI2 at its PBEsol-relaxed geometry at the SCAN level of DFT.

a b c (Å): 4.408 5.652 5.652
angles (deg): 90.00 90.00 90.00
Fractional positions:
Ge 0.000 0.000 0.000
Au 0.500 0.500 0.500
I 0.000 0.000 0.500
I 0.000 0.500 0.000
Cu 0.500 0.000 0.000

Calculated values
**Formation energy (no corrections)**: 14.51 kcal/mol of atoms
**Crystal system**: tetragonal
**Electronic total energy**: -1.2773 Ha/atom